No. 1
# CuRePt

Crystalline CuRePt at its relaxed geometry (PBE-GGA, the Alexandria database).

a b c (Å): 8.6034 3.8117 5.5067
angles (deg): 90.00 106.66 90.00
Closest atoms and distances in Å follow each position.
Space group Cm (No. 8)
Asymmetric unit:
Cu: 0.0000 0.0000 0.0000 x2  5 Re 2.66-2.81, 5 Pt 2.68-2.77, 2 Cu 2.72
Cu: 0.1680 0.5000 0.3215 x2  6 Pt 2.63-2.82, 4 Re 2.70-2.81, 2 Cu 2.72
Re: 0.1786 0.5000 0.8167 x2  2 Re 2.55, 5 Cu 2.66-2.81, 4 Pt 2.73-2.74
Re: 0.3275 0.0000 0.6697 x2  2 Re 2.55, 5 Pt 2.68-2.79, 4 Cu 2.76-2.77
Pt: 0.0028 0.0000 0.4977 x2  5 Re 2.68-2.76, 5 Cu 2.72-2.77, 2 Pt 2.79
Pt: 0.3254 0.0000 0.1616 x2  6 Cu 2.63-2.82, 4 Re 2.71-2.79, 2 Pt 2.79

Results
magnetization: 0.00 μB per formula unit
formation energy from the elements: 30 meV per atom
D(E_F): 8.41 states/eV per cell
polymorph energy (0 for the lowest one): 137 meV/atom

=====

No. 2
# Cu3RePt

Crystalline Cu3RePt at its relaxed geometry (PBE-GGA, the Alexandria database).

a b c (Å): 4.5686 4.5686 4.5686
angles (deg): 90.00 90.00 90.00
Closest atoms and distances in Å follow each position.
Space group Pm-3m (No. 221)
Asymmetric unit:
Cu: 0.0000 0.0000 0.5000 x3  2 Re 2.28
Re: 0.0000 0.0000 0.0000 x1  6 Cu 2.28
Pt: 0.5000 0.5000 0.5000 x1  12 Cu 3.23

Results
magnetization: 0.00 μB per formula unit
formation energy from the elements: 1734 meV per atom
D(E_F): 4.25 states/eV per cell
polymorph energy (0 for the lowest one): 93 meV/atom

=====

No. 3
# CuRePt

Crystalline CuRePt at its relaxed geometry (PBE-GGA, the Alexandria database).

a b c (Å): 13.5282 2.7555 4.6713
angles (deg): 90.00 97.29 90.00
Closest atoms and distances in Å follow each position.
Space group Cm (No. 8)
Asymmetric unit:
Cu: 0.0000 0.0000 0.0000 x2  3 Re 2.69-2.75, 5 Pt 2.71-2.72, 4 Cu 2.73-2.76
Cu: 0.1644 0.5000 0.8838 x2  5 Pt 2.71-2.73, 3 Re 2.73, 4 Cu 2.73-2.76
Re: 0.3316 0.0000 0.1005 x2  6 Re 2.64-2.79, 2 Pt 2.70-2.71, 4 Cu 2.73-2.75
Re: 0.3331 0.5000 0.6199 x2  6 Re 2.64-2.79, 2 Cu 2.69-2.73, 4 Pt 2.72-2.73
Pt: 0.1684 0.0000 0.3839 x2  5 Cu 2.71-2.72, 3 Re 2.71-2.73, 4 Pt 2.76-2.82
Pt: 0.4956 0.0000 0.4969 x2  3 Re 2.70-2.72, 5 Cu 2.71-2.73, 4 Pt 2.76-2.82

Results
magnetization: 0.00 μB per formula unit
formation energy from the elements: 26 meV per atom
D(E_F): 9.25 states/eV per cell
polymorph energy (0 for the lowest one): 133 meV/atom

=====

No. 4
# CuRePt

Crystalline CuRePt at its relaxed geometry (PBE-GGA, the Alexandria database).

a b c (Å): 2.7826 2.7826 11.0166
angles (deg): 90.00 90.00 90.00
Closest atoms and distances in Å follow each position.
Space group P4/nmm (No. 129, origin choice 2)
Asymmetric unit:
Cu: 0.2500 0.2500 0.0713 x2  8 Cu 2.52-2.78, 4 Pt 2.69
Re: 0.2500 0.2500 0.4156 x2  8 Re 2.71-2.78, 4 Pt 2.78
Pt: 0.2500 0.2500 0.7622 x2  4 Cu 2.69, 4 Re 2.78, 4 Pt 2.78

Results
magnetization: 0.00 μB per formula unit
formation energy from the elements: -107 meV per atom
D(E_F): 4.51 states/eV per cell
polymorph energy (0 for the lowest one): 0 meV/atom